Record 1
Crystalline Al3AsI at its relaxed geometry, computed with GGA-PBE.

Cell: 5.220 5.220 5.220 Å, 90.00 90.00 90.00°
Space group Pm-3m (No. 221)
Symmetry-distinct sites (fractional):
1 Al 0.000 0.000 0.500 [3 per cell]
2 As 0.000 0.000 0.000 [1 per cell]
3 I 0.500 0.500 0.500 [1 per cell]

Spin magnetization = 0.00 μB/f.u.
Energy relative to the elements, uncorrected = 436.3 meV per atom

Record 2
Crystalline AlAs2I at its relaxed geometry, computed with GGA-PBE.

Cell: 6.933 6.933 9.630 Å, 90.00 90.00 90.00°
Space group I-42d (No. 122)
Symmetry-distinct sites (fractional):
1 Al 0.000 0.000 0.000 [4 per cell]
2 As 0.189 0.250 0.125 [8 per cell]
3 I 0.000 0.000 0.500 [4 per cell]

Spin magnetization = 0.00 μB/f.u.
Energy relative to the elements, uncorrected = 306.4 meV per atom

Record 3
Crystalline AlAsI at its relaxed geometry, computed with GGA-PBE.

Cell: 4.117 7.070 7.925 Å, 75.57 80.74 88.15°
Space group P1 (No. 1)
Symmetry-distinct sites (fractional):
1 Al 0.000 0.000 0.000 [1 per cell]
2 Al 0.463 0.424 0.110 [1 per cell]
3 As 0.454 0.078 0.136 [1 per cell]
4 As 0.966 0.632 0.062 [1 per cell]
5 I 0.158 0.888 0.700 [1 per cell]
6 I 0.646 0.459 0.414 [1 per cell]

Spin magnetization = 0.00 μB/f.u.
Energy relative to the elements, uncorrected = -248.5 meV per atom

Record 4
Crystalline AlAs2I2 at its relaxed geometry, computed with GGA-PBE.

Cell: 7.961 7.961 8.600 Å, 90.00 90.00 90.00°
Space group P4/mbm (No. 127)
Symmetry-distinct sites (fractional):
1 Al 0.000 0.000 0.000 [2 per cell]
2 As 0.094 0.406 0.500 [4 per cell]
3 I 0.244 0.256 0.000 [4 per cell]

Spin magnetization = 0.00 μB/f.u.
Energy relative to the elements, uncorrected = 268.9 meV per atom

Record 5
Crystalline AlAsI2 at its relaxed geometry, computed with GGA-PBE.

Cell: 5.427 5.427 18.754 Å, 90.00 90.00 90.00°
Space group I-42d (No. 122)
Symmetry-distinct sites (fractional):
1 Al 0.000 0.000 0.000 [4 per cell]
2 As 0.000 0.000 0.500 [4 per cell]
3 I 0.236 0.250 0.625 [8 per cell]

Spin magnetization = 0.00 μB/f.u.
Energy relative to the elements, uncorrected = 440.2 meV per atom

Record 6
Crystalline AlAsI2 at its relaxed geometry, computed with GGA-PBE.

Cell: 7.566 7.566 7.566 Å, 90.00 90.00 90.00°
Space group Fm-3m (No. 225)
Symmetry-distinct sites (fractional):
1 Al 0.000 0.000 0.000 [4 per cell]
2 As 0.000 0.000 0.500 [4 per cell]
3 I 0.250 0.250 0.250 [8 per cell]

Spin magnetization = 0.00 μB/f.u.
Energy relative to the elements, uncorrected = 518.8 meV per atom

Record 7
Crystalline Li2AlAsI at its relaxed geometry, computed with GGA-PBE.

Cell: 4.799 4.799 6.360 Å, 90.00 90.00 90.00°
Space group P4/mmm (No. 123)
Symmetry-distinct sites (fractional):
1 Li 0.000 0.500 0.000 [2 per cell]
2 Al 0.000 0.000 0.500 [1 per cell]
3 As 0.500 0.500 0.000 [1 per cell]
4 I 0.500 0.500 0.500 [1 per cell]

Spin magnetization = 0.00 μB/f.u.
Energy relative to the elements, uncorrected = 23.5 meV per atom

Record 8
Crystalline AlAsIN2 at its relaxed geometry, computed with GGA-PBE.

Cell: 3.834 3.834 6.976 Å, 90.00 90.00 90.00°
Space group P4/mmm (No. 123)
Symmetry-distinct sites (fractional):
1 Al 0.000 0.000 0.000 [1 per cell]
2 As 0.500 0.500 0.500 [1 per cell]
3 I 0.000 0.000 0.500 [1 per cell]
4 N 0.000 0.500 0.000 [2 per cell]

Spin magnetization = 1.22 μB/f.u.
Energy relative to the elements, uncorrected = 1074.9 meV per atom

Record 9
Crystalline AlAsIN2 at its relaxed geometry, computed with GGA-PBE.

Cell: 3.926 3.926 6.597 Å, 90.00 90.00 90.00°
Space group P4/mmm (No. 123)
Symmetry-distinct sites (fractional):
1 Al 0.000 0.000 0.000 [1 per cell]
2 As 0.500 0.500 0.500 [1 per cell]
3 I 0.500 0.500 0.000 [1 per cell]
4 N 0.000 0.500 0.500 [2 per cell]

Spin magnetization = 0.64 μB/f.u.
Energy relative to the elements, uncorrected = 1360.4 meV per atom

Record 10
Crystalline AlAsI2O at its relaxed geometry, computed with GGA-PBE.

Cell: 5.732 5.732 3.483 Å, 90.00 90.00 90.00°
Space group P4/mmm (No. 123)
Symmetry-distinct sites (fractional):
1 Al 0.000 0.000 0.000 [1 per cell]
2 As 0.500 0.500 0.500 [1 per cell]
3 I 0.000 0.500 0.000 [2 per cell]
4 O 0.000 0.000 0.500 [1 per cell]

Spin magnetization = 0.00 μB/f.u.
Energy relative to the elements, uncorrected = -482.8 meV per atom

Record 11
Crystalline AlAsI2O at its relaxed geometry, computed with GGA-PBE.

Cell: 5.939 5.939 3.850 Å, 90.00 90.00 90.00°
Space group P4/mmm (No. 123)
Symmetry-distinct sites (fractional):
1 Al 0.000 0.000 0.000 [1 per cell]
2 As 0.500 0.500 0.500 [1 per cell]
3 I 0.000 0.500 0.500 [2 per cell]
4 O 0.500 0.500 0.000 [1 per cell]

Spin magnetization = 0.00 μB/f.u.
Energy relative to the elements, uncorrected = -126.7 meV per atom

Record 12
Crystalline Al2AsPI at its relaxed geometry, computed with GGA-PBE.

Cell: 5.429 5.429 5.365 Å, 90.00 90.00 90.00°
Space group P4/mmm (No. 123)
Symmetry-distinct sites (fractional):
1 Al 0.000 0.500 0.000 [2 per cell]
2 As 0.000 0.000 0.500 [1 per cell]
3 P 0.500 0.500 0.500 [1 per cell]
4 I 0.000 0.000 0.000 [1 per cell]

Spin magnetization = 0.00 μB/f.u.
Energy relative to the elements, uncorrected = 1459.8 meV per atom

Record 13
Crystalline AlAs2PdI at its relaxed geometry, computed with GGA-PBE.

Cell: 5.352 5.352 5.285 Å, 90.00 90.00 90.00°
Space group P4/mmm (No. 123)
Symmetry-distinct sites (fractional):
1 Al 0.000 0.000 0.000 [1 per cell]
2 As 0.000 0.500 0.500 [2 per cell]
3 Pd 0.500 0.500 0.000 [1 per cell]
4 I 0.000 0.000 0.500 [1 per cell]

Spin magnetization = 0.00 μB/f.u.
Energy relative to the elements, uncorrected = 1399.0 meV per atom

Record 14
Crystalline RbAlAs2I at its relaxed geometry, computed with GGA-PBE.

Cell: 4.857 4.857 9.580 Å, 90.00 90.00 90.00°
Space group P4/mmm (No. 123)
Symmetry-distinct sites (fractional):
1 Rb 0.000 0.000 0.000 [1 per cell]
2 Al 0.000 0.000 0.500 [1 per cell]
3 As 0.000 0.500 0.500 [2 per cell]
4 I 0.500 0.500 0.000 [1 per cell]

Spin magnetization = 0.00 μB/f.u.
Energy relative to the elements, uncorrected = -31.5 meV per atom

Record 15
Crystalline AlAsRuI2 at its relaxed geometry, computed with GGA-PBE.

Cell: 5.451 5.451 4.807 Å, 90.00 90.00 90.00°
Space group P4/mmm (No. 123)
Symmetry-distinct sites (fractional):
1 Al 0.000 0.000 0.000 [1 per cell]
2 As 0.500 0.500 0.500 [1 per cell]
3 Ru 0.000 0.000 0.500 [1 per cell]
4 I 0.000 0.500 0.000 [2 per cell]

Spin magnetization = 0.42 μB/f.u.
Energy relative to the elements, uncorrected = 1136.3 meV per atom

Record 16
Crystalline AlSb2AsI at its relaxed geometry, computed with GGA-PBE.

Cell: 5.402 5.402 5.803 Å, 90.00 90.00 90.00°
Space group P4/mmm (No. 123)
Symmetry-distinct sites (fractional):
1 Al 0.000 0.000 0.000 [1 per cell]
2 Sb 0.000 0.500 0.500 [2 per cell]
3 As 0.500 0.500 0.500 [1 per cell]
4 I 0.500 0.500 0.000 [1 per cell]

Spin magnetization = 0.00 μB/f.u.
Energy relative to the elements, uncorrected = 678.4 meV per atom

Record 17
Crystalline AlSb2AsI at its relaxed geometry, computed with GGA-PBE.

Cell: 5.382 5.382 5.188 Å, 90.00 90.00 90.00°
Space group P4/mmm (No. 123)
Symmetry-distinct sites (fractional):
1 Al 0.000 0.000 0.000 [1 per cell]
2 Sb 0.000 0.500 0.000 [2 per cell]
3 As 0.500 0.500 0.500 [1 per cell]
4 I 0.000 0.000 0.500 [1 per cell]

Spin magnetization = 0.00 μB/f.u.
Energy relative to the elements, uncorrected = 665.0 meV per atom

Record 18
Crystalline AlAsSe2I at its relaxed geometry, computed with GGA-PBE.

Cell: 4.799 4.799 5.457 Å, 90.00 90.00 90.00°
Space group P4/mmm (No. 123)
Symmetry-distinct sites (fractional):
1 Al 0.000 0.000 0.000 [1 per cell]
2 As 0.000 0.000 0.500 [1 per cell]
3 Se 0.000 0.500 0.000 [2 per cell]
4 I 0.500 0.500 0.500 [1 per cell]

Spin magnetization = 0.00 μB/f.u.
Energy relative to the elements, uncorrected = 275.0 meV per atom

Record 19
Crystalline AlAsSe2I at its relaxed geometry, computed with GGA-PBE.

Cell: 5.411 5.411 5.485 Å, 90.00 90.00 90.00°
Space group P4/mmm (No. 123)
Symmetry-distinct sites (fractional):
1 Al 0.000 0.000 0.000 [1 per cell]
2 As 0.500 0.500 0.000 [1 per cell]
3 Se 0.000 0.500 0.500 [2 per cell]
4 I 0.500 0.500 0.500 [1 per cell]

Spin magnetization = 0.61 μB/f.u.
Energy relative to the elements, uncorrected = 969.0 meV per atom

Record 20
Crystalline AlAs2SeI at its relaxed geometry, computed with GGA-PBE.

Cell: 5.101 5.101 4.744 Å, 90.00 90.00 90.00°
Space group P4/mmm (No. 123)
Symmetry-distinct sites (fractional):
1 Al 0.000 0.000 0.000 [1 per cell]
2 As 0.000 0.500 0.000 [2 per cell]
3 Se 0.000 0.000 0.500 [1 per cell]
4 I 0.500 0.500 0.500 [1 per cell]

Spin magnetization = 0.00 μB/f.u.
Energy relative to the elements, uncorrected = 409.7 meV per atom